Density functional theory data (PBE) for an optimized crystal structure of Sr3PdO.

Results
ΔE_f (raw)   -112.88 kJ/mol of atoms
SG   Cmmm
Offset from the most stable computed form   0.066 eV/atom

Geometry as POSCAR:
```
Sr3PdO
1.0
-2.768 -2.741 0.103
5.999 -6.035 0.621
1.483 -1.185 8.322
Sr Pd O
6 2 2
Cartesian
1.045 -5.573 7.034 Sr
-1.279 -3.272 5.808 Sr
1.513 -6.270 1.047 Sr
-0.748 -1.231 0.686 Sr
2.770 -7.424 4.095 Sr
1.799 -3.688 3.731 Sr
4.266 -6.069 6.680 Pd
-0.859 -3.829 2.261 Pd
3.524 -5.476 2.520 O
1.266 -3.052 6.370 O
```